Entry 1:
A relaxed CsO2F2 crystal. Source: the Alexandria database, functional PBE.

total moment = 0.2552 μB/atom
crystal system = tetragonal
E_form (uncorrected) = 538 meV/atom

Cell: 4.332 4.332 4.761 Å, 90.00 90.00 90.00°
Positions (direct):
Cs  0.000  0.000  0.000
O  0.000  0.500  0.000
O  0.500  0.000  0.000
F  0.000  0.000  0.500
F  0.500  0.500  0.500


Entry 2:
A relaxed InAg2P crystal. Source: the Alexandria database, functional PBE.

total moment = 0.0000 μB/atom
formation energy = 0.197 eV per atom
crystal system = orthorhombic

Cell: 4.094 4.133 4.491 Å, 90.00 90.00 90.00°
Positions (direct):
In  0.000  0.000  0.000
Ag  0.000  0.500  0.500
Ag  0.500  0.000  0.500
P  0.500  0.500  0.000


Entry 3:
A relaxed Nb2TlSbOs crystal. Source: the Alexandria database, functional PBE.

total moment = 0.1544 μB/atom
crystal system = tetragonal
E_form (uncorrected) = 1603 meV/atom

Cell: 5.084 5.084 4.845 Å, 90.00 90.00 90.00°
Positions (direct):
Nb  0.000  0.500  0.000
Nb  0.500  0.000  0.000
Tl  0.000  0.000  0.500
Sb  0.500  0.500  0.000
Os  0.500  0.500  0.500


Entry 4:
A relaxed CaLaGe crystal. Source: the Alexandria database, functional PBE.

total moment = 0.0000 μB/atom
formation energy = -0.395 eV per atom
crystal system = trigonal

Cell: 4.873 4.873 8.430 Å, 90.00 90.00 120.00°
Positions (direct):
Ca  0.333  0.667  0.389
Ca  0.667  0.333  0.611
La  0.333  0.667  0.888
La  0.667  0.333  0.112
Ge  0.000  0.000  0.263
Ge  0.000  0.000  0.737


Entry 5:
A relaxed SmHoSe2 crystal. Source: the Alexandria database, functional PBE.

total moment = 0.0000 μB/atom
crystal system = trigonal
E_form (uncorrected) = -1747 meV/atom

Cell: 3.991 3.991 21.672 Å, 90.00 90.00 120.00°
Positions (direct):
Sm  0.000  0.000  0.000
Sm  0.333  0.667  0.667
Sm  0.667  0.333  0.333
Ho  0.000  0.000  0.823
Ho  0.333  0.667  0.490
Ho  0.667  0.333  0.156
Se  0.000  0.000  0.413
Se  0.000  0.000  0.577
Se  0.333  0.667  0.080
Se  0.333  0.667  0.243
Se  0.667  0.333  0.747
Se  0.667  0.333  0.910


Entry 6:
A relaxed TiFeTc2H crystal. Source: the Alexandria database, functional PBE.

VASP energy = -8.186 eV per atom
total moment = 0.5157 μB/atom
crystal system = tetragonal

Cell: 4.186 4.186 3.333 Å, 90.00 90.00 90.00°
Positions (direct):
Ti  0.000  0.000  0.000
Fe  0.500  0.500  0.000
Tc  0.000  0.500  0.500
Tc  0.500  0.000  0.500
H  0.500  0.500  0.500


Entry 7:
A relaxed Co3Te4 crystal. Source: the Alexandria database, functional PBE.

total moment = 0.7904 μB/atom
crystal system = hexagonal
E_form (uncorrected) = 482 meV/atom

Cell: 4.796 4.796 8.889 Å, 90.00 90.00 120.00°
Positions (direct):
Co  0.000  0.500  0.000
Co  0.500  0.000  0.000
Co  0.500  0.500  0.000
Te  0.000  0.000  0.177
Te  0.000  0.000  0.823
Te  0.333  0.667  0.500
Te  0.667  0.333  0.500


Entry 8:
A relaxed K2ZrZnSe4 crystal. Source: the Alexandria database, functional PBE.

total moment = 0.0000 μB/atom
crystal system = monoclinic
E_form (uncorrected) = -1110 meV/atom

Cell: 10.382 9.897 7.345 Å, 90.00 134.97 90.00°
Positions (direct):
K  0.000  0.000  0.000
K  0.000  0.250  0.500
K  0.500  0.500  0.000
K  0.500  0.750  0.500
Zr  0.000  0.749  0.500
Zr  0.500  0.249  0.500
Zn  0.000  0.499  0.000
Zn  0.500  0.999  0.000
Se  0.164  0.618  0.414
Se  0.250  0.381  0.086
Se  0.250  0.881  0.914
Se  0.336  0.118  0.586
Se  0.664  0.118  0.414
Se  0.750  0.381  0.914
Se  0.750  0.881  0.086
Se  0.836  0.618  0.586


Entry 9:
A relaxed LiAc6La2 crystal. Source: the Alexandria database, functional PBE.

total moment = 0.0000 μB/atom
formation energy = 0.094 eV per atom
crystal system = hexagonal

Cell: 3.909 3.909 28.645 Å, 90.00 90.00 120.00°
Positions (direct):
Li  0.000  0.000  0.000
Ac  0.000  0.000  0.213
Ac  0.000  0.000  0.434
Ac  0.000  0.000  0.566
Ac  0.000  0.000  0.787
Ac  0.333  0.667  0.100
Ac  0.333  0.667  0.900
La  0.333  0.667  0.326
La  0.333  0.667  0.674


Entry 10:
A relaxed CuHgAs2H crystal. Source: the Alexandria database, functional PBE.

VASP energy = -2.858 eV per atom
total moment = 0.0000 μB/atom
crystal system = tetragonal

Cell: 4.496 4.496 3.906 Å, 90.00 90.00 90.00°
Positions (direct):
Cu  0.000  0.000  0.000
Hg  0.500  0.500  0.000
As  0.000  0.500  0.500
As  0.500  0.000  0.500
H  0.000  0.000  0.500


Entry 11:
A relaxed BaSrInSbO6 crystal. Source: the Alexandria database, functional PBE.

total moment = 0.0000 μB/atom
crystal system = cubic
E_form (uncorrected) = -2112 meV/atom

Cell: 5.885 5.885 5.885 Å, 60.00 60.00 60.00°
Positions (direct):
Ba  0.000  0.000  0.000
Sr  0.500  0.500  0.500
In  0.250  0.250  0.250
Sb  0.750  0.750  0.750
O  0.509  0.509  0.991
O  0.509  0.991  0.509
O  0.509  0.991  0.991
O  0.991  0.509  0.509
O  0.991  0.509  0.991
O  0.991  0.991  0.509


Entry 12:
A relaxed AlCuS2N crystal. Source: the Alexandria database, functional PBE.

total moment = 0.4792 μB/atom
crystal system = tetragonal
E_form (uncorrected) = 513 meV/atom

Cell: 4.738 4.738 3.637 Å, 90.00 90.00 90.00°
Positions (direct):
Al  0.000  0.000  0.000
Cu  0.500  0.500  0.500
S  0.000  0.500  0.000
S  0.500  0.000  0.000
N  0.000  0.000  0.500